[1]
A relaxed ReBAsP crystal, computed with GGA-PBE.

Cell lengths 7.6205, 3.0595, 5.2554 Å; angles 90.00, 101.68, 90.00 degrees
Closest atoms and distances in Å follow each position.
Space group Cm (No. 8)
Asymmetric unit:
Re: 0.0000 0.0000 0.0000 x2  2 B 2.27, 3 P 2.38-2.43
B: 0.4463 0.0000 0.6744 x2  1 P 1.84, 1 As 2.04
As: 0.3349 0.0000 0.2862 x2  1 B 2.04
P: 0.1880 0.5000 0.8144 x2  1 B 1.84



[2]
A relaxed ReBAsP crystal, computed with GGA-PBE.

Cell lengths 5.4268, 3.1401, 7.9906 Å; angles 90.00, 91.42, 90.00 degrees
Closest atoms and distances in Å follow each position.
Space group Cm (No. 8)
Asymmetric unit:
Re: 0.0000 0.0000 0.0000 x2  1 B 2.30, 3 As 2.54
B: 0.4882 0.5000 0.7118 x2  3 P 1.82
As: 0.3424 0.0000 0.2227 x2  3 Re 2.54
P: 0.3226 0.0000 0.7317 x2  3 B 1.82



[3]
A relaxed ReBAsP crystal, computed with GGA-PBE.

Cell lengths 3.1586, 3.1586, 20.5112 Å; angles 90.00, 90.00, 120.00 degrees
Closest atoms and distances in Å follow each position.
Space group R3m (No. 160, hexagonal axes)
Asymmetric unit:
Re: 0.0000 0.0000 0.0000 x3  3 P 2.34, 1 As 2.55
B: 0.0000 0.0000 0.5017 x3  1 P 1.91, 3 As 2.03
As: 0.0000 0.0000 0.1245 x3  3 B 2.03
P: 0.0000 0.0000 0.5950 x3  1 B 1.91



[4]
A relaxed ReBAsP crystal, computed with GGA-PBE.

Cell lengths 3.1166, 3.1166, 6.9239 Å; angles 90.00, 90.00, 120.00 degrees
Closest atoms and distances in Å follow each position.
Space group P3m1 (No. 156)
Asymmetric unit:
Re: 0.0000 0.0000 0.0000 x1  1 P 2.44, 3 As 2.46
B: 0.3333 0.6667 0.4545 x1  3 P 1.93, 1 As 2.10
As: 0.3333 0.6667 0.7579 x1  1 B 2.10
P: 0.0000 0.0000 0.3522 x1  3 B 1.93



Energy relative to the lowest polymorph listed for this composition per entry: 211, 156, 76, 69 meV/atom
E_form per entry: 0.16, 0.10, 0.02, 0.02 eV per atom
Total DFT energy (no corrections) per entry: -57.10, -57.54, -87.27, -29.12 eV per cell